No. 1
# Nd2GeS6 PBE optimized geometry
# E_form (uncorrected): -79.3 kJ/mol of atoms
# density of states at the Fermi level: 0.884 states/eV/atom
# final energy: -5.147 eV per atom
data_Nd2GeS6
_chemical_formula_sum 'Nd4 Ge2 S12'
_cell_length_a 6.211
_cell_length_b 6.211
_cell_length_c 12.338
_cell_angle_alpha 90.00
_cell_angle_beta 90.00
_cell_angle_gamma 90.00
_symmetry_space_group_name_H-M 'P 42/m n m'
_symmetry_Int_Tables_number 136
_symmetry_space_group_name_Hall '-P 4n 2n'
loop_
_atom_site_label
_atom_site_fract_x
_atom_site_fract_y
_atom_site_fract_z
Nd1 0.000 0.000 0.168
Ge1 0.000 0.000 0.500
S1 0.183 0.183 0.357
S2 0.224 0.224 0.000

***

No. 2
# PmGdZnRu PBE optimized geometry
# density of states at the Fermi level: 0.879 states/eV/atom
# final energy: -7.625 eV per atom
# formation enthalpy at 0 K: -280 meV per atom
data_PmGdZnRu
_chemical_formula_sum 'Pm4 Gd4 Zn4 Ru4'
_cell_length_a 7.078
_cell_length_b 7.078
_cell_length_c 7.078
_cell_angle_alpha 90.00
_cell_angle_beta 90.00
_cell_angle_gamma 90.00
_symmetry_space_group_name_H-M 'F -4 3 m'
_symmetry_Int_Tables_number 216
_symmetry_space_group_name_Hall 'F -4 2 3'
loop_
_atom_site_label
_atom_site_fract_x
_atom_site_fract_y
_atom_site_fract_z
Pm1 0.000 0.000 0.000
Gd1 0.000 0.000 0.500
Zn1 0.250 0.250 0.750
Ru1 0.250 0.250 0.250

***

No. 3
# LaSmThSc PBE optimized geometry
# density of states at the Fermi level: 1.084 states/eV/atom
# final energy: -5.816 eV per atom
# distance to the lowest polymorph of the same formula: 0 meV per atom
# formation enthalpy at 0 K: 33 meV per atom
data_LaSmThSc
_chemical_formula_sum 'La1 Sm1 Th1 Sc1'
_cell_length_a 3.605
_cell_length_b 3.605
_cell_length_c 9.781
_cell_angle_alpha 90.00
_cell_angle_beta 90.00
_cell_angle_gamma 90.00
_symmetry_space_group_name_H-M 'P 4 m m'
_symmetry_Int_Tables_number 99
loop_
_symmetry_equiv_pos_as_xyz
'x,y,z'
'-y,x,z'
'-x,-y,z'
'y,-x,z'
'-x,y,z'
'y,x,z'
'x,-y,z'
'-y,-x,z'
loop_
_atom_site_label
_atom_site_fract_x
_atom_site_fract_y
_atom_site_fract_z
La1 0.000 0.000 0.000
Sm1 0.500 0.500 0.721
Th1 0.000 0.000 0.471
Sc1 0.500 0.500 0.246

***

No. 4
# Ce7GeBi3 PBE optimized geometry
# density of states at the Fermi level: 2.944 states/eV/atom
# final energy: -5.696 eV per atom
# formation enthalpy at 0 K: -442 meV per atom
data_Ce7GeBi3
_chemical_formula_sum 'Ce14 Ge2 Bi6'
_cell_length_a 6.069
_cell_length_b 9.158
_cell_length_c 12.152
_cell_angle_alpha 90.00
_cell_angle_beta 90.00
_cell_angle_gamma 90.00
_symmetry_space_group_name_H-M 'I m m m'
_symmetry_Int_Tables_number 71
_symmetry_space_group_name_Hall '-I 2 2'
loop_
_atom_site_label
_atom_site_fract_x
_atom_site_fract_y
_atom_site_fract_z
Ce1 0.000 0.000 0.000
Ce2 0.000 0.157 0.500
Ce3 0.000 0.358 0.254
Ge1 0.000 0.500 0.500
Bi1 0.000 0.000 0.260
Bi2 0.000 0.500 0.000

***

- Which of these has the lowest final energy?
  PmGdZnRu

***

- Among the records above, which one has the highest density of states at the Fermi level?
  Ce7GeBi3

***

- Among the records above, which one has the lowest final energy?
  PmGdZnRu